VASP calculation (PBE-GGA) on a relaxed K2Pd2O crystal.

Properties
Calculated total energy in eV per atom: -3.715
Size of the total moment in μB/atom: 0.1159
Crystal system: tetragonal
D(E_F) in states/eV/cell: 11.44

Lattice parameters (Å, degrees): 3.5920 3.5920 18.4656 90.00 90.00 90.00
Last column: nearest neighbours and their distance in Å.
Space group I4/mmm (No. 139)
Symmetry-distinct sites (fractional):
K 0.0000 0.0000 0.0818 x4  4 O 2.95, 1 K 3.02
Pd 0.0000 0.5000 0.2500 x4  4 Pd 2.54
O 0.0000 0.0000 0.5000 x2  8 K 2.95